A plane-wave DFT calculation with GGA-PBEsol was carried out for an optimized crystal structure of Ca3Si4.

Structure (POSCAR):
```
Ca3Si4
1.0
8.461 0.000 0.000
-4.230 7.327 0.000
0.000 0.000 14.729
Ca Si
18 24
direct
0.000 0.000 0.500
0.000 0.000 0.000
0.667 0.333 0.750
0.333 0.667 0.250
0.094 0.422 0.598
0.906 0.578 0.402
0.578 0.672 0.598
0.906 0.578 0.098
0.422 0.328 0.402
0.094 0.422 0.902
0.328 0.906 0.598
0.422 0.328 0.098
0.672 0.094 0.402
0.578 0.672 0.902
0.672 0.094 0.098
0.328 0.906 0.902
0.000 0.000 0.750
0.000 0.000 0.250
0.326 0.382 0.750
0.674 0.618 0.250
0.618 0.945 0.750
0.382 0.055 0.250
0.055 0.674 0.750
0.945 0.326 0.250
0.333 0.667 0.750
0.667 0.333 0.250
0.667 0.333 0.556
0.333 0.667 0.444
0.333 0.667 0.056
0.667 0.333 0.944
0.737 0.091 0.609
0.263 0.909 0.391
0.909 0.646 0.609
0.263 0.909 0.109
0.091 0.354 0.391
0.737 0.091 0.891
0.354 0.263 0.609
0.091 0.354 0.109
0.646 0.737 0.391
0.909 0.646 0.891
0.646 0.737 0.109
0.354 0.263 0.891
```

Output
The uncorrected formation energy is -521 meV/atom. The calculation puts the total DFT energy (no corrections) at -4.719 eV per atom. For the magnetization, the calculation gives 0.000 μB/f.u.